MnCdAs2O8 | PBE+U | optimized geometry

The structure in extended XYZ format:
```
12
Lattice="-3.5066 3.5066 3.1632 3.5066 -3.5066 3.1632 3.5066 3.5066 -3.1632" Properties=species:S:1:pos:R:3 pbc="T T T"
Mn 0.0000 0.0000 0.0000
Cd 0.0000 3.5066 1.5816
As 3.5066 0.0000 1.5816
As 0.0000 0.0000 3.1632
O 2.1968 0.0000 0.4541
O 4.8164 0.0000 0.4541
O 3.5066 2.2731 -1.2024
O 3.5066 -1.3098 2.7091
O 0.0000 1.2335 1.9608
O 3.5066 1.3098 2.7091
O 2.2731 3.5066 1.2024
O 1.2335 0.0000 4.3656
```

## Properties
The electronic total energy is -0.426 Ry/atom.